# 1
Computed, not measured: a relaxed Zr2Zn2Ag crystal at the PBE level of DFT.

Computed properties:
Excess energy over the best structure of this formula in the dataset   322 meV/atom
Energy of formation   0.13 eV/atom
Density of states at the Fermi level   10.1 states/eV per cell
Raw total energy   -4.37 eV per atom
Size of the total moment   0.0 μB per formula unit

a b c (Å): 8.350 8.350 2.854
angles (deg): 90.00 90.00 90.00
Space group P4/mbm (No. 127)
One atom of each set of equivalent atoms:
Zr1 0.132 0.368 0.000 [4 per cell]
Zn1 0.165 0.665 0.500 [4 per cell]
Ag1 0.000 0.000 0.000 [2 per cell]


# 2
Computed, not measured: a relaxed Zr2Zn6Ag crystal at the PBE level of DFT.

Computed properties:
Excess energy over the best structure of this formula in the dataset   34 meV/atom
Energy of formation   -0.16 eV/atom
Density of states at the Fermi level   6.5 states/eV per cell
Raw total energy   -3.22 eV per atom
Size of the total moment   0.0 μB per formula unit

a b c (Å): 5.5389 5.5389 5.7234
angles (deg): 90.00 90.00 120.00
Space group P-3m1 (No. 164)
One atom of each set of equivalent atoms:
Zr1 0.3333 0.6667 0.3696 [2 per cell]
Zn1 0.1796 0.3591 0.8333 [6 per cell]
Ag1 0.0000 0.0000 0.5000 [1 per cell]


Copy entry 2 word for word.
Computed, not measured: a relaxed Zr2Zn6Ag crystal at the PBE level of DFT.

Computed properties:
Excess energy over the best structure of this formula in the dataset   34 meV/atom
Energy of formation   -0.16 eV/atom
Density of states at the Fermi level   6.5 states/eV per cell
Raw total energy   -3.22 eV per atom
Size of the total moment   0.0 μB per formula unit

a b c (Å): 5.5389 5.5389 5.7234
angles (deg): 90.00 90.00 120.00
Space group P-3m1 (No. 164)
One atom of each set of equivalent atoms:
Zr1 0.3333 0.6667 0.3696 [2 per cell]
Zn1 0.1796 0.3591 0.8333 [6 per cell]
Ag1 0.0000 0.0000 0.5000 [1 per cell]


Look up the raw total energy of the first one.
-4.37 eV per atom